1.
## LiDyHg (GGA-PBE)

Data for a relaxed structure of LiDyHg.

abc: 3.386 4.815 4.815
angles: 120.00 90.00 90.00
Sites, in units of the cell vectors:
Li (0.166, 0.000, 0.000)
Hg (0.167, 0.333, 0.667)
Dy (0.667, 0.667, 0.333)

Results
The calculation puts the formation energy at -84 kJ/mol of formula units. The value obtained for the distance to the lowest polymorph of the same formula is 66 meV/atom.


2.
## TaCdCu2 (GGA-PBE)

Data for a relaxed structure of TaCdCu2.

abc: 4.634 4.634 5.438
angles: 83.68 83.68 34.21
Sites, in units of the cell vectors:
Ta (0.750, 0.750, 0.750)
Cd (0.250, 0.250, 0.250)
Cu (0.002, 0.002, 0.965)
Cu (0.498, 0.498, 0.535)

Results
The calculation puts the formation energy at 97 kJ/mol of formula units.


3.
## CeHoCBr (GGA-PBE)

Data for a relaxed structure of CeHoCBr.

abc: 3.665 3.665 7.695
angles: 90.00 103.78 119.99
Site moments in Bohr magnetons follow the coordinates.
Sites, in units of the cell vectors:
Ho (0.092, 0.944, 0.052)  0.03
C (0.312, 0.554, 0.881)  -0.02
Br (0.955, 0.376, 0.347)  0.00
Ce (0.518, 0.157, 0.690)  0.77

Results
For the uncorrected formation energy, the calculation gives -897 meV/atom.